Computed, not measured: a relaxed Pu3Ag2S6 crystal at the PBE level of DFT.

Properties
Formation energy without anion corrections   -12.9 eV per formula unit

a b c (Å): 7.033 7.030 6.342
angles (deg): 79.29 68.19 59.99
Site moments in Bohr magnetons follow the coordinates.
Fractional coordinates of all 11 atoms:
Pu: 0.000 0.000 0.000  4.90
Pu: 0.333 0.333 0.000  4.89
Pu: 0.667 0.667 0.000  4.89
Ag: 0.166 0.667 0.500  -0.04
Ag: 0.834 0.333 0.500  -0.04
S: 0.413 0.665 0.763  -0.14
S: 0.748 0.000 0.762  -0.14
S: 0.078 0.335 0.763  -0.14
S: 0.252 0.000 0.238  -0.14
S: 0.587 0.335 0.237  -0.14
S: 0.922 0.665 0.237  -0.14